Record 1
12
Lattice="3.668 0.000 0.000 -1.834 3.177 0.000 0.000 0.000 28.688" Properties=species:S:1:pos:R:3 comment="Ac2PdF PBE optimized geometry" raw_formation_energy_mev_per_atom=-974 pbc="T T T"
Ac 0.000 0.000 2.753
Ac 0.000 0.000 25.935
Ac 0.000 2.118 16.372
Ac 0.000 2.118 21.879
Ac 1.834 1.059 6.809
Ac 1.834 1.059 12.316
Pd 0.000 0.000 0.000
Pd 0.000 2.118 19.125
Pd 1.834 1.059 9.563
F 0.000 0.000 14.344
F 0.000 2.118 4.781
F 1.834 1.059 23.907

---

Record 2
4
Lattice="3.427 0.000 0.000 0.000 3.427 0.000 0.000 0.000 9.935" Properties=species:S:1:pos:R:3 comment="BaZr2Br PBE optimized geometry" raw_formation_energy_mev_per_atom=-187 pbc="T T T"
Ba 0.000 0.000 0.000
Zr 0.000 0.000 4.831
Zr 1.714 1.714 6.772
Br 1.714 1.714 2.519

---

Record 3
5
Lattice="5.321 0.000 0.000 0.000 5.321 0.000 0.000 0.000 3.705" Properties=species:S:1:pos:R:3 comment="Sr2PHPd PBE optimized geometry" e_tot_ev_per_cell=-20.8 pbc="T T T"
Sr 0.000 2.661 0.000
Sr 2.661 0.000 0.000
P 0.000 0.000 1.853
H 2.661 2.661 0.000
Pd 2.661 2.661 1.853

---

Record 4
16
Lattice="7.958 0.000 0.000 0.000 7.958 0.000 0.000 0.000 7.958" Properties=species:S:1:pos:R:3 comment="KLiBiPb PBE optimized geometry" delta_e_f_ev_per_atom=-0.1741 pbc="T T T"
K 0.000 0.000 0.000
K 0.000 3.979 3.979
K 3.979 0.000 3.979
K 3.979 3.979 0.000
Li 1.990 1.990 1.990
Li 1.990 5.969 5.969
Li 5.969 1.990 5.969
Li 5.969 5.969 1.990
Bi 0.000 0.000 3.979
Bi 0.000 3.979 0.000
Bi 3.979 0.000 0.000
Bi 3.979 3.979 3.979
Pb 1.990 1.990 5.969
Pb 1.990 5.969 1.990
Pb 5.969 1.990 1.990
Pb 5.969 5.969 5.969

---

Record 5
5
Lattice="6.144 0.000 0.000 0.000 6.144 0.000 0.000 0.000 6.144" Properties=species:S:1:pos:R:3 comment="KLiBr3 PBE optimized geometry" raw_formation_energy_mev_per_atom=-682 pbc="T T T"
K 0.000 0.000 0.000
Li 3.072 3.072 3.072
Br 0.000 0.000 3.072
Br 0.000 3.072 0.000
Br 3.072 0.000 0.000

---

Record 6
30
Lattice="9.759 -3.350 0.000 9.759 3.350 0.000 -3.319 0.000 7.734" Properties=species:S:1:pos:R:3 comment="Na2Np3O10 PBE optimized geometry" raw_formation_energy_mev_per_atom=-2525 pbc="T T T"
Na 2.011 0.000 1.104
Na 0.543 0.000 6.117
Na 15.656 0.000 1.617
Na 14.188 0.000 6.630
Np 8.100 1.688 3.867
Np 4.521 0.000 3.723
Np 8.094 0.000 0.183
Np 8.105 0.000 7.551
Np 11.678 0.000 4.011
Np 8.100 -1.688 3.867
O 3.220 1.675 3.867
O -1.809 0.000 5.150
O 6.929 1.497 0.234
O 6.149 1.642 3.533
O 4.295 0.000 1.901
O 9.759 1.291 0.000
O 10.050 1.642 4.201
O 4.724 0.000 5.623
O 9.270 1.497 7.499
O 8.313 0.000 2.507
O 3.220 -1.675 3.867
O 7.886 0.000 5.227
O 6.929 -1.497 0.234
O 11.475 0.000 2.111
O 6.149 -1.642 3.533
O 9.759 -1.291 0.000
O 11.904 0.000 5.833
O 10.050 -1.642 4.201
O 9.270 -1.497 7.499
O 18.008 0.000 2.584